Compound: TmPuCuRh
Source: the Alexandria database
Functional: GGA-PBE
Structure: optimized geometry

Results
formation enthalpy at 0 K = -34.3 kJ per mole of atoms
calculated density = 11.89 Mg/m³
magnetization = 5.54 μB per formula unit

Lattice parameters (Å, degrees): 4.8555 4.8555 4.8555 60.00 60.00 60.00
Sites, in units of the cell vectors:
Tm  0.0000  0.0000  0.0000
Pu  0.5000  0.5000  0.5000
Cu  0.2500  0.2500  0.2500
Rh  0.7500  0.7500  0.7500

=====

Compound: PuUCuRh
Source: the Alexandria database
Functional: GGA-PBE
Structure: optimized geometry

Results
formation enthalpy at 0 K = -28.6 kJ per mole of atoms
calculated density = 15.36 Mg/m³
magnetization = 6.08 μB per formula unit

Lattice parameters (Å, degrees): 4.6285 4.6285 4.6285 60.00 60.00 60.00
Sites, in units of the cell vectors:
Pu  0.0000  0.0000  0.0000
U  0.7500  0.7500  0.7500
Cu  0.2500  0.2500  0.2500
Rh  0.5000  0.5000  0.5000